Entry 1:
The following is a DFT calculation (PBE-GGA) of Y3In3IrPt after structural relaxation.

Magnetization = 0.00 μB/atom
V = 187 Å³/cell
Energy = -0.22362 hartree per atom
SG = P-6

Unit cell a=7.6550 b=7.6550 c=3.6839 alpha=90.00 beta=90.00 gamma=120.00
Positions (direct):
Y  0.0897  0.3401  0.0000
Y  0.2504  0.9103  0.0000
Y  0.6599  0.7496  0.0000
In  0.4334  0.3356  0.5000
In  0.6644  0.0978  0.5000
In  0.9022  0.5666  0.5000
Ir  0.3333  0.6667  0.5000
Pt  0.0000  0.0000  0.5000

Entry 2:
The following is a DFT calculation (PBE-GGA) of BaCdTeO after structural relaxation.

V = 247 Å³/cell
Energy = -0.14350 hartree per atom
SG = P4/nmm

Unit cell a=5.4811 b=5.4811 c=8.2151 alpha=90.00 beta=90.00 gamma=90.00
Positions (direct):
Ba  0.2500  0.2500  0.1788
Ba  0.7500  0.7500  0.8212
Cd  0.2500  0.2500  0.6440
Cd  0.7500  0.7500  0.3560
Te  0.2500  0.7500  0.5000
Te  0.7500  0.2500  0.5000
O  0.2500  0.2500  0.8986
O  0.7500  0.7500  0.1014

Entry 3:
The following is a DFT calculation (PBE-GGA) of Y2LuSn after structural relaxation.

Magnetization = 0.21 μB/atom
V = 441 Å³/cell
Energy = -0.20421 hartree per atom
SG = F-43m

Unit cell a=7.6118 b=7.6118 c=7.6118 alpha=90.00 beta=90.00 gamma=90.00
Positions (direct):
Y  0.0000  0.0000  0.0000
Y  0.0000  0.5000  0.5000
Y  0.2500  0.2500  0.2500
Y  0.2500  0.7500  0.7500
Y  0.5000  0.0000  0.5000
Y  0.5000  0.5000  0.0000
Y  0.7500  0.2500  0.7500
Y  0.7500  0.7500  0.2500
Lu  0.2500  0.2500  0.7500
Lu  0.2500  0.7500  0.2500
Lu  0.7500  0.2500  0.2500
Lu  0.7500  0.7500  0.7500
Sn  0.0000  0.0000  0.5000
Sn  0.0000  0.5000  0.0000
Sn  0.5000  0.0000  0.0000
Sn  0.5000  0.5000  0.5000

Entry 4:
The following is a DFT calculation (PBE-GGA) of Sc2CdN after structural relaxation.

Magnetization = 0.07 μB/atom
V = 136 Å³/cell
Energy = -0.23983 hartree per atom
SG = P6_3/mmc

Unit cell a=3.2300 b=3.2300 c=15.0638 alpha=90.00 beta=90.00 gamma=120.00
Positions (direct):
Sc  0.3333  0.6667  0.0810
Sc  0.3333  0.6667  0.4190
Sc  0.6667  0.3333  0.5810
Sc  0.6667  0.3333  0.9190
Cd  0.3333  0.6667  0.7500
Cd  0.6667  0.3333  0.2500
N  0.0000  0.0000  0.0000
N  0.0000  0.0000  0.5000

Entry 5:
The following is a DFT calculation (PBE-GGA) of SrNbOs after structural relaxation.

Magnetization = 0.16 μB/atom
V = 284 Å³/cell
SG = F-43m
Energy relative to the lowest polymorph listed for this composition = 0 meV per atom

Unit cell a=6.5714 b=6.5714 c=6.5714 alpha=90.00 beta=90.00 gamma=90.00
Positions (direct):
Sr  0.0000  0.0000  0.0000
Sr  0.0000  0.5000  0.5000
Sr  0.5000  0.0000  0.5000
Sr  0.5000  0.5000  0.0000
Nb  0.0000  0.0000  0.5000
Nb  0.0000  0.5000  0.0000
Nb  0.5000  0.0000  0.0000
Nb  0.5000  0.5000  0.5000
Os  0.2500  0.2500  0.7500
Os  0.2500  0.7500  0.2500
Os  0.7500  0.2500  0.2500
Os  0.7500  0.7500  0.7500

Entry 6:
The following is a DFT calculation (PBE-GGA) of NpZn4Pt2 after structural relaxation.

Magnetization = 0.57 μB/atom
V = 241 Å³/cell
SG = P4_2/mnm
Formation energy = -42.9 kJ per mole of atoms

Unit cell a=7.4901 b=7.4901 c=4.2965 alpha=90.00 beta=90.00 gamma=90.00
Positions (direct):
Np  0.0000  0.0000  0.0000
Np  0.5000  0.5000  0.5000
Zn  0.0970  0.3506  0.5000
Zn  0.1494  0.5970  0.0000
Zn  0.3506  0.0970  0.5000
Zn  0.4030  0.8506  0.0000
Zn  0.5970  0.1494  0.0000
Zn  0.6494  0.9030  0.5000
Zn  0.8506  0.4030  0.0000
Zn  0.9030  0.6494  0.5000
Pt  0.2191  0.7809  0.5000
Pt  0.2809  0.2809  0.0000
Pt  0.7191  0.7191  0.0000
Pt  0.7809  0.2191  0.5000

Entry 7:
The following is a DFT calculation (PBE-GGA) of NaYSiPd after structural relaxation.

Magnetization = 0.00 μB/atom
V = 297 Å³/cell
SG = F-43m
Energy relative to the lowest polymorph listed for this composition = 54 meV per atom

Unit cell a=6.6750 b=6.6750 c=6.6750 alpha=90.00 beta=90.00 gamma=90.00
Positions (direct):
Na  0.0000  0.0000  0.0000
Na  0.0000  0.5000  0.5000
Na  0.5000  0.0000  0.5000
Na  0.5000  0.5000  0.0000
Y  0.2500  0.2500  0.7500
Y  0.2500  0.7500  0.2500
Y  0.7500  0.2500  0.2500
Y  0.7500  0.7500  0.7500
Si  0.0000  0.0000  0.5000
Si  0.0000  0.5000  0.0000
Si  0.5000  0.0000  0.0000
Si  0.5000  0.5000  0.5000
Pd  0.2500  0.2500  0.2500
Pd  0.2500  0.7500  0.7500
Pd  0.7500  0.2500  0.7500
Pd  0.7500  0.7500  0.2500

Entry 8:
The following is a DFT calculation (PBE-GGA) of ZrC4 after structural relaxation.

Magnetization = 0.00 μB/atom
V = 81 Å³/cell
Energy = -0.31531 hartree per atom
SG = P-3m1

Unit cell a=2.6743 b=2.6743 c=13.0313 alpha=90.00 beta=90.00 gamma=120.00
Positions (direct):
Zr  0.3333  0.6667  0.1669
Zr  0.6667  0.3333  0.8331
C  0.0000  0.0000  0.3226
C  0.0000  0.0000  0.6774
C  0.3333  0.6667  0.5192
C  0.3333  0.6667  0.6382
C  0.3333  0.6667  0.9833
C  0.6667  0.3333  0.0167
C  0.6667  0.3333  0.3618
C  0.6667  0.3333  0.4808

Entry 9:
The following is a DFT calculation (PBE-GGA) of PmTcAsO after structural relaxation.

Magnetization = 0.26 μB/atom
V = 169 Å³/cell
SG = P4/nmm
Energy relative to the lowest polymorph listed for this composition = 1600 meV per atom

Unit cell a=4.2244 b=4.2244 c=9.4662 alpha=90.00 beta=90.00 gamma=90.00
Positions (direct):
Pm  0.2500  0.7500  0.0000
Pm  0.7500  0.2500  0.0000
Tc  0.2500  0.2500  0.4691
Tc  0.7500  0.7500  0.5309
As  0.2500  0.2500  0.2213
As  0.7500  0.7500  0.7787
O  0.2500  0.7500  0.5000
O  0.7500  0.2500  0.5000

Entry 10:
The following is a DFT calculation (PBE-GGA) of Y2Zn2Te after structural relaxation.

Magnetization = 0.00 μB/atom
V = 123 Å³/cell
Energy = -0.16533 hartree per atom
SG = P-6m2

Unit cell a=4.3002 b=4.3002 c=7.6516 alpha=90.00 beta=90.00 gamma=120.00
Positions (direct):
Y  0.0000  0.0000  0.2402
Y  0.0000  0.0000  0.7598
Zn  0.3333  0.6667  0.0000
Zn  0.6667  0.3333  0.0000
Te  0.3333  0.6667  0.5000

Entry 11:
The following is a DFT calculation (PBE-GGA) of HfCuPt2 after structural relaxation.

Magnetization = 0.00 μB/atom
V = 126 Å³/cell
SG = Pmmn
Formation energy = -85.0 kJ per mole of atoms

Unit cell a=4.5985 b=5.6162 c=4.8863 alpha=90.00 beta=90.00 gamma=90.00
Positions (direct):
Hf  0.2500  0.2500  0.1625
Hf  0.7500  0.7500  0.8375
Cu  0.2500  0.7500  0.1869
Cu  0.7500  0.2500  0.8131
Pt  0.2500  0.0008  0.6798
Pt  0.2500  0.4992  0.6798
Pt  0.7500  0.5008  0.3202
Pt  0.7500  0.9992  0.3202

Entry 12:
The following is a DFT calculation (PBE-GGA) of BeHgTeO after structural relaxation.

V = 313 Å³/cell
SG = Pca2_1
Energy relative to the lowest polymorph listed for this composition = 485 meV per atom

Unit cell a=6.6650 b=7.2358 c=6.5005 alpha=90.00 beta=90.00 gamma=90.00
Positions (direct):
Be  0.0394  0.1840  0.0000
Be  0.4606  0.1840  0.5000
Be  0.5394  0.8160  0.0000
Be  0.9606  0.8160  0.5000
Hg  0.1014  0.6356  0.9027
Hg  0.3986  0.6356  0.4027
Hg  0.6014  0.3644  0.9027
Hg  0.8986  0.3644  0.4027
Te  0.1124  0.1179  0.6323
Te  0.3876  0.1179  0.1323
Te  0.6124  0.8821  0.6323
Te  0.8876  0.8821  0.1323
O  0.0670  0.6355  0.5482
O  0.4330  0.6355  0.0482
O  0.5670  0.3645  0.5482
O  0.9330  0.3645  0.0482